No. 1
Entry from OQMD: an optimized crystal structure of BaPAuO (GGA-PBE).

Lattice parameters (Å, degrees): 4.5188 4.5188 9.0572 90.00 90.00 90.00
Fractional coordinates of all 8 atoms:
Ba (0.2500, 0.2500, 0.1317)
Ba (0.7500, 0.7500, 0.8683)
P (0.2500, 0.2500, 0.6215)
P (0.7500, 0.7500, 0.3785)
Au (0.2500, 0.7500, 0.5000)
Au (0.7500, 0.2500, 0.5000)
O (0.2500, 0.7500, 0.0000)
O (0.7500, 0.2500, 0.0000)

Results
The calculation puts the total DFT energy (no corrections) at -4.86 eV per atom. The volume comes out at 23.1 Å³/atom.



No. 2
Entry from OQMD: an optimized crystal structure of Pr3Mg3ZnAu2 (GGA-PBE).

Lattice parameters (Å, degrees): 7.6965 7.6965 4.3494 90.00 90.00 120.00
Fractional coordinates of all 9 atoms:
Pr (0.0000, 0.4143, 0.0000)
Pr (0.4143, 0.0000, 0.0000)
Pr (0.5857, 0.5857, 0.0000)
Mg (0.0000, 0.7591, 0.5000)
Mg (0.2409, 0.2409, 0.5000)
Mg (0.7591, 0.0000, 0.5000)
Zn (0.0000, 0.0000, 0.0000)
Au (0.3333, 0.6667, 0.5000)
Au (0.6667, 0.3333, 0.5000)

Results
Its size of the total moment is 0.00 μB per cell. The calculation puts the total DFT energy (no corrections) at -3.49 eV per atom. The volume comes out at 24.8 Å³/atom.



No. 3
Entry from OQMD: an optimized crystal structure of KHf3Ge5 (GGA-PBE).

Lattice parameters (Å, degrees): 5.8819 5.8819 6.8753 90.00 90.00 120.00
Fractional coordinates of all 9 atoms:
K (0.0000, 0.0000, 0.0000)
Hf (0.0000, 0.5000, 0.5000)
Hf (0.5000, 0.0000, 0.5000)
Hf (0.5000, 0.5000, 0.5000)
Ge (0.0000, 0.0000, 0.5000)
Ge (0.3333, 0.6667, 0.1776)
Ge (0.3333, 0.6667, 0.8224)
Ge (0.6667, 0.3333, 0.1776)
Ge (0.6667, 0.3333, 0.8224)

Results
Its size of the total moment is 0.01 μB per cell. The calculation puts the total DFT energy (no corrections) at -6.14 eV per atom. The volume comes out at 22.9 Å³/atom.



No. 4
Entry from OQMD: an optimized crystal structure of Na2Fe2Os3 (GGA-PBE).

Lattice parameters (Å, degrees): 8.2694 8.2694 8.2694 29.89 29.89 29.89
Fractional coordinates of all 7 atoms:
Na (0.0000, 0.0000, 0.0000)
Na (0.3948, 0.3948, 0.3948)
Fe (0.1440, 0.1440, 0.1440)
Fe (0.6162, 0.6162, 0.6162)
Os (0.2497, 0.2497, 0.2497)
Os (0.5169, 0.5169, 0.5169)
Os (0.8525, 0.8525, 0.8525)

Results
Its size of the total moment is 5.05 μB per cell. The calculation puts the total DFT energy (no corrections) at -6.87 eV per atom. The volume comes out at 17.8 Å³/atom.



No. 5
Entry from OQMD: an optimized crystal structure of NdGa2NiPt (GGA-PBE).

Lattice parameters (Å, degrees): 4.3021 4.3021 9.9420 90.00 90.00 90.00
Fractional coordinates of all 10 atoms:
Nd (0.2500, 0.2500, 0.2374)
Nd (0.7500, 0.7500, 0.7626)
Ga (0.2500, 0.2500, 0.8920)
Ga (0.2500, 0.7500, 0.5000)
Ga (0.7500, 0.2500, 0.5000)
Ga (0.7500, 0.7500, 0.1080)
Ni (0.2500, 0.7500, 0.0000)
Ni (0.7500, 0.2500, 0.0000)
Pt (0.2500, 0.2500, 0.6404)
Pt (0.7500, 0.7500, 0.3596)

Results
Its size of the total moment is 0.01 μB per cell. The calculation puts the total DFT energy (no corrections) at -5.26 eV per atom. The volume comes out at 18.4 Å³/atom.



No. 6
Entry from OQMD: an optimized crystal structure of Mg2GaOs (GGA-PBE).

Lattice parameters (Å, degrees): 4.4807 4.4807 4.4807 60.00 60.00 60.00
Fractional coordinates of all 4 atoms:
Mg (0.0000, 0.0000, 0.0000)
Mg (0.2500, 0.2500, 0.2500)
Ga (0.5000, 0.5000, 0.5000)
Os (0.7500, 0.7500, 0.7500)

Results
Its size of the total moment is 0.00 μB per cell. The calculation puts the total DFT energy (no corrections) at -4.30 eV per atom. The volume comes out at 15.9 Å³/atom.



No. 7
Entry from OQMD: an optimized crystal structure of Nd2AlIr2 (GGA-PBE).

Lattice parameters (Å, degrees): 4.3439 4.3439 7.2460 90.00 90.00 120.00
Fractional coordinates of all 5 atoms:
Nd (0.3333, 0.6667, 0.1894)
Nd (0.6667, 0.3333, 0.8106)
Al (0.0000, 0.0000, 0.5000)
Ir (0.3333, 0.6667, 0.6082)
Ir (0.6667, 0.3333, 0.3918)

Results
Its size of the total moment is 0.02 μB per cell. The calculation puts the total DFT energy (no corrections) at -6.81 eV per atom. The volume comes out at 23.7 Å³/atom.



No. 8
Entry from OQMD: an optimized crystal structure of ZrNbZn2 (GGA-PBE).

Lattice parameters (Å, degrees): 4.6561 4.6561 4.6561 60.00 60.00 60.00
Fractional coordinates of all 4 atoms:
Zr (0.0000, 0.0000, 0.0000)
Nb (0.7500, 0.7500, 0.7500)
Zn (0.2500, 0.2500, 0.2500)
Zn (0.5000, 0.5000, 0.5000)

Results
For the formation energy, the calculation gives 314 meV per atom. Its size of the total moment is 1.27 μB per cell. The calculation puts the total DFT energy (no corrections) at -4.98 eV per atom. The volume comes out at 17.8 Å³/atom.



No. 9
Entry from OQMD: an optimized crystal structure of TaFeNiGe (GGA-PBE).

Lattice parameters (Å, degrees): 4.2641 4.2641 4.2641 60.00 60.00 60.00
Fractional coordinates of all 4 atoms:
Ta (0.0000, 0.0000, 0.0000)
Fe (0.5000, 0.5000, 0.5000)
Ni (0.7500, 0.7500, 0.7500)
Ge (0.2500, 0.2500, 0.2500)

Results
Its size of the total moment is 1.82 μB per cell. The calculation puts the total DFT energy (no corrections) at -7.61 eV per atom. The volume comes out at 13.7 Å³/atom.



No. 10
Entry from OQMD: an optimized crystal structure of CuW2 (GGA-PBE).

Lattice parameters (Å, degrees): 7.6651 7.6651 7.6651 60.00 60.00 60.00
Fractional coordinates of all 6 atoms:
Cu (0.1250, 0.1250, 0.1250)
Cu (0.8750, 0.8750, 0.8750)
W (0.0000, 0.0000, 0.0000)
W (0.0000, 0.0000, 0.5000)
W (0.0000, 0.5000, 0.0000)
W (0.5000, 0.0000, 0.0000)

Results
For the formation energy, the calculation gives 4491 meV per atom. Its size of the total moment is 13.72 μB per cell. The calculation puts the total DFT energy (no corrections) at -5.39 eV per atom. The volume comes out at 53.1 Å³/atom.



No. 11
Entry from OQMD: an optimized crystal structure of HoCuGeSe3 (GGA-PBE).

Lattice parameters (Å, degrees): 11.2212 4.1118 11.5755 90.00 90.00 90.00
Fractional coordinates of all 24 atoms:
Ho (0.0145, 0.2500, 0.1839)
Ho (0.4855, 0.7500, 0.6839)
Ho (0.5145, 0.2500, 0.3161)
Ho (0.9855, 0.7500, 0.8161)
Cu (0.2476, 0.7500, 0.2923)
Cu (0.2524, 0.2500, 0.7923)
Cu (0.7476, 0.7500, 0.2077)
Cu (0.7524, 0.2500, 0.7077)
Ge (0.1627, 0.2500, 0.5126)
Ge (0.3373, 0.7500, 0.0126)
Ge (0.6627, 0.2500, 0.9874)
Ge (0.8373, 0.7500, 0.4874)
Se (0.0444, 0.7500, 0.3718)
Se (0.1003, 0.2500, 0.9367)
Se (0.2214, 0.7500, 0.6780)
Se (0.2786, 0.2500, 0.1780)
Se (0.3997, 0.7500, 0.4367)
Se (0.4556, 0.2500, 0.8718)
Se (0.5444, 0.7500, 0.1282)
Se (0.6003, 0.2500, 0.5633)
Se (0.7214, 0.7500, 0.8220)
Se (0.7786, 0.2500, 0.3220)
Se (0.8997, 0.7500, 0.0633)
Se (0.9556, 0.2500, 0.6282)

Results
Its size of the total moment is 0.00 μB per cell. The calculation puts the total DFT energy (no corrections) at -4.70 eV per atom. The volume comes out at 22.3 Å³/atom.



No. 12
Entry from OQMD: an optimized crystal structure of La3In3AgPt2 (GGA-PBE).

Lattice parameters (Å, degrees): 7.9011 7.9011 4.1370 90.00 90.00 120.00
Fractional coordinates of all 9 atoms:
La (0.0000, 0.4198, 0.0000)
La (0.4198, 0.0000, 0.0000)
La (0.5802, 0.5802, 0.0000)
In (0.0000, 0.7458, 0.5000)
In (0.2542, 0.2542, 0.5000)
In (0.7458, 0.0000, 0.5000)
Ag (0.0000, 0.0000, 0.0000)
Pt (0.3333, 0.6667, 0.5000)
Pt (0.6667, 0.3333, 0.5000)

Results
Its size of the total moment is 0.00 μB per cell. The calculation puts the total DFT energy (no corrections) at -5.05 eV per atom. The volume comes out at 24.9 Å³/atom.